[1]
# As3P

Crystalline As3P at its relaxed geometry (PBE, the Alexandria database).

```
data_As3P
_cell_length_a 3.8111
_cell_length_b 3.8111
_cell_length_c 18.2457
_cell_angle_alpha 90.00
_cell_angle_beta 90.00
_cell_angle_gamma 120.00
_symmetry_space_group_name_H-M 'R -3 m'
_symmetry_Int_Tables_number 166
_symmetry_space_group_name_Hall '-R 3 2"'
loop_
_atom_site_label
_atom_site_type_symbol
_atom_site_fract_x
_atom_site_fract_y
_atom_site_fract_z
As1 As 0.0000 0.0000 0.0000
As2 As 0.0000 0.0000 0.2459
P1 P 0.0000 0.0000 0.5000
```

The total DFT energy (no corrections) comes out at -4.680 eV/atom. As for the formation energy: 0.1599 eV/atom. The polymorph energy (0 for the lowest one) comes out at 39 kJ/mol of formula units.

=====

[2]
# Na3IrBr6

Crystalline Na3IrBr6 at its relaxed geometry (PBE, the Alexandria database).

```
data_Na3IrBr6
_cell_length_a 8.7972
_cell_length_b 10.5752
_cell_length_c 13.3976
_cell_angle_alpha 90.00
_cell_angle_beta 90.00
_cell_angle_gamma 90.00
_symmetry_space_group_name_H-M 'F m m m'
_symmetry_Int_Tables_number 69
_symmetry_space_group_name_Hall '-F 2 2'
loop_
_atom_site_label
_atom_site_type_symbol
_atom_site_fract_x
_atom_site_fract_y
_atom_site_fract_z
Na1 Na 0.0000 0.0000 0.0000
Na2 Na 0.2500 0.2500 0.2500
Ir1 Ir 0.0000 0.0000 0.5000
Br1 Br 0.0000 0.2362 0.5000
Br2 Br 0.2031 0.0000 0.3684
```

The total DFT energy (no corrections) comes out at -3.192 eV/atom. As for the raw formation energy: -87.5 kJ per mole of atoms. The polymorph energy (0 for the lowest one) comes out at 76 kJ/mol of formula units.

=====

[3]
# MgHPd2Au

Crystalline MgHPd2Au at its relaxed geometry (PBE, the Alexandria database).

```
data_MgHPd2Au
_cell_length_a 4.7342
_cell_length_b 4.7342
_cell_length_c 4.8512
_cell_angle_alpha 90.00
_cell_angle_beta 90.00
_cell_angle_gamma 90.00
_symmetry_space_group_name_H-M 'P 4/m m m'
_symmetry_Int_Tables_number 123
_symmetry_space_group_name_Hall '-P 4 2'
loop_
_atom_site_label
_atom_site_type_symbol
_atom_site_fract_x
_atom_site_fract_y
_atom_site_fract_z
Mg1 Mg 0.0000 0.0000 0.0000
H1 H 0.5000 0.5000 0.5000
Pd1 Pd 0.0000 0.5000 0.0000
Au1 Au 0.0000 0.0000 0.5000
```

The total DFT energy (no corrections) comes out at -2.699 eV/atom. The polymorph energy (0 for the lowest one) comes out at 699 kJ/mol of formula units.

=====

[4]
# MgGa2

Crystalline MgGa2 at its relaxed geometry (PBE, the Alexandria database).

```
data_MgGa2
_cell_length_a 3.1391
_cell_length_b 14.0589
_cell_length_c 5.3463
_cell_angle_alpha 90.00
_cell_angle_beta 90.00
_cell_angle_gamma 90.00
_symmetry_space_group_name_H-M 'C m c m'
_symmetry_Int_Tables_number 63
_symmetry_space_group_name_Hall '-C 2c 2'
loop_
_atom_site_label
_atom_site_type_symbol
_atom_site_fract_x
_atom_site_fract_y
_atom_site_fract_z
Mg1 Mg 0.0000 0.2143 0.2500
Ga1 Ga 0.0000 0.1114 0.7500
Ga2 Ga 0.0000 0.4544 0.7500
```

The total DFT energy (no corrections) comes out at -2.607 eV/atom. As for the formation energy: -0.0573 eV/atom.